Density functional theory data (GGA-PBE) for Ba6SbTe3Cl2 after structural relaxation.

formation energy (no corrections)	-1.7393	eV per atom
SG	C2/m (12)
magnetization	0.000	Bohr magnetons per cell

a = 8.480 Å, b = 8.480 Å, c = 8.494 Å
α = 99.55°, β = 99.55°, γ = 119.99°
Atoms (fractional coordinates):
Ba: 0.083 0.412 0.747
Ba: 0.246 0.246 0.252
Ba: 0.412 0.083 0.747
Ba: 0.588 0.917 0.253
Ba: 0.754 0.754 0.748
Ba: 0.917 0.588 0.253
Sb: 0.000 0.000 0.500
Te: 0.168 0.832 0.000
Te: 0.500 0.500 0.000
Te: 0.832 0.168 0.000
Cl: 0.334 0.666 0.500
Cl: 0.666 0.334 0.500

=====

Density functional theory data (GGA-PBE) for Ba4SbTeCl2 after structural relaxation.

formation energy (no corrections)	-1.7040	eV per atom
SG	P2/m (10)
magnetization	0.000	Bohr magnetons per cell

a = 8.096 Å, b = 4.923 Å, c = 8.515 Å
α = 90.00°, β = 110.51°, γ = 90.00°
Atoms (fractional coordinates):
Ba: 0.249 0.000 0.244
Ba: 0.250 0.500 0.755
Ba: 0.750 0.500 0.245
Ba: 0.751 0.000 0.756
Sb: 0.500 0.000 0.000
Te: 0.500 0.500 0.500
Cl: 0.000 0.000 0.500
Cl: 0.000 0.500 0.000